[1]
Density functional theory data (PBE) for a geometry-optimized Er2PuCuS5 structure.

Unit cell a=3.781 b=17.816 c=11.001 alpha=90.00 beta=90.00 gamma=90.00
Space group Cmc2_1 (No. 36)
Unique sites:
Er  0.000  0.092  0.000 x4
Er  0.000  0.113  0.624 x4
Pu  0.000  0.200  0.325 x4
Cu  0.000  0.437  0.770 x4
S  0.000  0.049  0.381 x4
S  0.000  0.301  0.006 x4
S  0.000  0.329  0.650 x4
S  0.000  0.361  0.321 x4
S  0.000  0.496  0.097 x4

Summary:
The value obtained for the energy relative to the elements, uncorrected is -1.55 eV per atom. The density comes out at 7192 kg/m³. The total DFT energy (no corrections) comes out at -6.91 eV/atom.

***

[2]
Density functional theory data (PBE) for a geometry-optimized CsNa2TlF6 structure.

Unit cell a=6.1186 b=6.1186 c=16.6727 alpha=90.00 beta=90.00 gamma=120.00
Space group R3 (No. 146, hexagonal axes)
Unique sites:
Cs  0.0000  0.0000  0.0000 x3
Na  0.0000  0.0000  0.2638 x3
Na  0.0000  0.0000  0.7782 x3
Tl  0.0000  0.0000  0.4647 x3
F  0.0180  0.3427  0.1927 x9
F  0.0282  0.5548  0.0407 x9

Summary:
The value obtained for the energy relative to the elements, uncorrected is -2.41 eV per atom. The density comes out at 4582 kg/m³. The total DFT energy (no corrections) comes out at -4.12 eV/atom.

***

[3]
Density functional theory data (PBE) for a geometry-optimized ZrSbMo2 structure.

Unit cell a=9.764 b=3.495 c=4.680 alpha=90.00 beta=110.39 gamma=90.00
Space group C2/m (No. 12)
Unique sites:
Zr  0.000  0.000  0.000 x2
Sb  0.000  0.500  0.500 x2
Mo  0.249  0.000  0.723 x4

Summary:
The value obtained for the energy relative to the elements, uncorrected is 0.03 eV per atom. The density comes out at 8982 kg/m³. The total DFT energy (no corrections) comes out at -8.55 eV/atom.

***

[4]
Density functional theory data (PBE) for a geometry-optimized BeInGe3 structure.

Unit cell a=5.224 b=5.224 c=5.224 alpha=90.00 beta=90.00 gamma=90.00
Space group Pm-3m (No. 221)
Unique sites:
Be  0.000  0.000  0.000 x1
In  0.500  0.500  0.500 x1
Ge  0.000  0.500  0.500 x3

Summary:
The calculation puts the energy relative to the lowest polymorph listed for this composition at 966 meV per atom. The formation energy comes out at 661 kJ/mol of formula units. The density comes out at 3980 kg/m³. The total DFT energy (no corrections) comes out at -2.69 eV/atom.

***

[5]
Density functional theory data (PBE) for a geometry-optimized LaEr3Co8 structure.

Unit cell a=4.9923 b=4.9923 c=25.4485 alpha=90.00 beta=90.00 gamma=120.00
Space group R3m (No. 160, hexagonal axes)
Unique sites:
La  0.0000  0.0000  0.0000 x3
Er  0.0000  0.0000  0.1241 x3
Er  0.0000  0.0000  0.4997 x3
Er  0.0000  0.0000  0.6225 x3
Co  0.0000  0.0000  0.3109 x3
Co  0.0000  0.0000  0.8125 x3
Co  0.9998  0.4999  0.0639 x9
Co  0.1676  0.3352  0.8932 x9

Summary:
The formation energy comes out at -201 kJ/mol of formula units. The density comes out at 10086 kg/m³. The total DFT energy (no corrections) comes out at -6.46 eV/atom.

***

[6]
Density functional theory data (PBE) for a geometry-optimized CuSn4Ir structure.

Unit cell a=6.685 b=6.685 c=11.275 alpha=90.00 beta=90.00 gamma=90.00
Space group I4/mcm (No. 140)
Unique sites:
Cu  0.000  0.000  0.000 x4
Sn  0.157  0.343  0.133 x16
Ir  0.000  0.000  0.250 x4

Summary:
The calculation puts the energy relative to the lowest polymorph listed for this composition at 16 meV per atom. The formation energy comes out at -65 kJ/mol of formula units. The density comes out at 9632 kg/m³. The total DFT energy (no corrections) comes out at -4.94 eV/atom.

***

[7]
Density functional theory data (PBE) for a geometry-optimized MnHgS2 structure.

Unit cell a=5.249 b=6.037 c=7.513 alpha=72.09 beta=84.36 gamma=66.99
Space group P1 (No. 1)
Unique sites:
Mn  0.000  0.000  0.000 x1
Mn  0.496  0.003  0.005 x1
Hg  0.712  0.283  0.444 x1
Hg  0.784  0.716  0.556 x1
S  0.225  0.130  0.771 x1
S  0.267  0.874  0.234 x1
S  0.621  0.283  0.036 x1
S  0.878  0.721  0.968 x1

Summary:
The value obtained for the energy relative to the elements, uncorrected is -0.30 eV per atom. The calculation puts the energy relative to the lowest polymorph listed for this composition at 113 meV per atom. The density comes out at 5092 kg/m³. The total DFT energy (no corrections) comes out at -4.73 eV/atom.

***

[8]
Density functional theory data (PBE) for a geometry-optimized BeFe2Os structure.

Unit cell a=2.6035 b=2.6035 c=23.9040 alpha=90.00 beta=90.00 gamma=120.00
Space group R-3m (No. 166, hexagonal axes)
Unique sites:
Be  0.0000  0.0000  0.0000 x3
Fe  0.0000  0.0000  0.2561 x6
Os  0.0000  0.0000  0.5000 x3

Summary:
The formation energy comes out at 50 kJ/mol of formula units. The density comes out at 11039 kg/m³. The total DFT energy (no corrections) comes out at -7.84 eV/atom.

***

[9]
Density functional theory data (PBE) for a geometry-optimized ScInTe4 structure.

Unit cell a=9.006 b=9.006 c=9.006 alpha=90.00 beta=90.00 gamma=90.00
Space group F-43m (No. 216)
Unique sites:
Sc  0.000  0.000  0.000 x4
In  0.250  0.250  0.750 x4
Te  0.126  0.126  0.374 x16

Summary:
The value obtained for the energy relative to the elements, uncorrected is 0.24 eV per atom. The calculation puts the energy relative to the lowest polymorph listed for this composition at 711 meV per atom. The density comes out at 6093 kg/m³. The total DFT energy (no corrections) comes out at -3.37 eV/atom.

***

[10]
Density functional theory data (PBE) for a geometry-optimized KPm3Se4 structure.

Unit cell a=4.2509 b=4.2509 c=29.1241 alpha=90.00 beta=90.00 gamma=120.00
Space group P6_3/mmc (No. 194)
Unique sites:
K  0.3333  0.6667  0.2500 x2
Pm  0.0000  0.0000  0.0000 x2
Pm  0.3333  0.6667  0.6166 x4
Se  0.0000  0.0000  0.1726 x4
Se  0.3333  0.6667  0.0584 x4

Summary:
The value obtained for the energy relative to the elements, uncorrected is -1.79 eV per atom. The density comes out at 5756 kg/m³. The total DFT energy (no corrections) comes out at -5.45 eV/atom.

***

[11]
Density functional theory data (PBE) for a geometry-optimized Hf2MgTa structure.

Unit cell a=3.0887 b=3.0887 c=32.6393 alpha=90.00 beta=90.00 gamma=120.00
Space group R-3m (No. 166, hexagonal axes)
Unique sites:
Hf  0.0000  0.0000  0.0930 x6
Mg  0.0000  0.0000  0.0000 x3
Ta  0.0000  0.0000  0.5000 x3

Summary:
The formation energy comes out at 135 kJ/mol of formula units. The density comes out at 10386 kg/m³. The total DFT energy (no corrections) comes out at -7.99 eV/atom.

***

[12]
Density functional theory data (PBE) for a geometry-optimized Na2Ca8Cu structure.

Unit cell a=27.438 b=3.974 c=7.948 alpha=90.00 beta=98.26 gamma=90.00
Space group C2/m (No. 12)
Unique sites:
Na  0.202  0.000  0.354 x4
Ca  0.001  0.000  0.760 x4
Ca  0.105  0.500  0.552 x4
Ca  0.107  0.500  0.053 x4
Ca  0.204  0.000  0.846 x4
Cu  0.000  0.500  0.500 x2

Summary:
The formation energy comes out at 31 kJ/mol of formula units. The density comes out at 1665 kg/m³. The total DFT energy (no corrections) comes out at -2.04 eV/atom.

***

[13]
Density functional theory data (PBE) for a geometry-optimized Ba3TcAs structure.

Unit cell a=5.639 b=5.639 c=5.639 alpha=90.00 beta=90.00 gamma=90.00
Space group Pm-3m (No. 221)
Unique sites:
Ba  0.000  0.000  0.500 x3
Tc  0.000  0.000  0.000 x1
As  0.500  0.500  0.500 x1

Summary:
The calculation puts the energy relative to the lowest polymorph listed for this composition at 0 meV per atom. The formation energy comes out at 89 kJ/mol of formula units. The density comes out at 5415 kg/m³. The total DFT energy (no corrections) comes out at -3.97 eV/atom.